{"formula": "Pr4Tl2Br3", "functional": "GGA-PBE", "state": "relaxed", "lattice_angstrom": [[4.343, 0.000, 0.000], [-2.171, 3.761, 0.000], [0.000, 0.000, 18.801]], "species": ["Pr", "Pr", "Pr", "Pr", "Tl", "Tl", "Br", "Br", "Br"], "fractional_positions": [[0.000, 0.000, 0.191], [0.000, 0.000, 0.809], [0.333, 0.667, 0.404], [0.667, 0.333, 0.596], [0.333, 0.667, 0.703], [0.667, 0.333, 0.297], [0.000, 0.000, 0.500], [0.333, 0.667, 0.098], [0.667, 0.333, 0.902]], "e_form_raw_mev_per_atom": -979}

=====

{"formula": "BaTl2Rh", "functional": "GGA-PBE", "state": "relaxed", "lattice_angstrom": [[-1.850, 2.848, 5.361], [1.850, -2.848, 5.361], [1.850, 2.848, -5.361]], "species": ["Ba", "Tl", "Tl", "Rh"], "fractional_positions": [[0.000, 0.000, 0.000], [0.299, 0.799, 0.500], [0.701, 0.201, 0.500], [0.500, 0.500, 0.000]], "ef_ev_per_atom": -0.13}

=====

{"formula": "ScRuPb2", "functional": "GGA-PBE", "state": "relaxed", "lattice_angstrom": [[1.710, 0.987, 8.891], [-1.710, 0.987, 8.891], [0.000, -1.975, 8.891]], "species": ["Sc", "Ru", "Pb", "Pb"], "fractional_positions": [[0.000, 0.000, 0.000], [0.500, 0.500, 0.500], [0.241, 0.241, 0.241], [0.759, 0.759, 0.759]], "ef_ev_per_atom": 0.21}

=====

Number 1: theoretical density 6.56 Mg/m³. Number 2: theoretical density 9.54 Mg/m³. Number 3: theoretical density 10.33 Mg/m³.